Record 1
{
  "formula": "SmMgAgSe3",
  "functional": "PBE",
  "state": "optimized geometry",
  "space_group": "P2_1/m, No. 11",
  "e_above_lowest_polymorph_mev_per_atom": 0,
  "lattice_angstrom": [[7.812, 0.000, 0.000], [0.000, 3.985, 0.000], [-1.829, 0.000, 9.310]],
  "species": ["Ag", "Ag", "Mg", "Mg", "Se", "Se", "Se", "Se", "Se", "Se", "Sm", "Sm"],
  "frac_coords": [[0.601, 0.250, 0.080], [0.399, 0.750, 0.920], [0.281, 0.750, 0.218], [0.719, 0.250, 0.782], [0.794, 0.750, 0.007], [0.548, 0.250, 0.343], [0.095, 0.250, 0.351], [0.905, 0.750, 0.649], [0.452, 0.750, 0.657], [0.206, 0.250, 0.993], [0.815, 0.750, 0.327], [0.185, 0.250, 0.673]]
}


Record 2
{
  "formula": "SmMgAgTe2Se",
  "functional": "PBE",
  "state": "optimized geometry",
  "space_group": "Cmcm, No. 63",
  "e_tot_ev_per_atom": -4.005,
  "lattice_angstrom": [[-5.796, -4.084, 1.741], [5.242, 1.419, -4.879], [6.657, -7.305, 5.028]],
  "species": ["Ag", "Ag", "Mg", "Mg", "Se", "Se", "Sm", "Sm", "Te", "Te", "Te", "Te"],
  "frac_coords": [[0.484, 0.516, 0.250], [0.516, 0.484, 0.750], [0.746, 0.254, 0.250], [0.254, 0.746, 0.750], [0.108, 0.892, 0.250], [0.892, 0.108, 0.750], [0.000, 0.000, 0.000], [0.000, 0.000, 0.500], [0.344, 0.656, 0.073], [0.344, 0.656, 0.427], [0.656, 0.344, 0.573], [0.656, 0.344, 0.927]]
}


Record 3
{
  "formula": "SmMgAgTeSe2",
  "functional": "PBE",
  "state": "optimized geometry",
  "space_group": "Cmcm, No. 63",
  "e_tot_ev_per_atom": -4.199,
  "lattice_angstrom": [[2.003, -6.877, 0.000], [2.003, 6.877, 0.000], [0.000, 0.000, 11.241]],
  "species": ["Ag", "Ag", "Mg", "Mg", "Se", "Se", "Se", "Se", "Sm", "Sm", "Te", "Te"],
  "frac_coords": [[0.516, 0.484, 0.250], [0.484, 0.516, 0.750], [0.205, 0.795, 0.250], [0.795, 0.205, 0.750], [0.644, 0.356, 0.076], [0.644, 0.356, 0.424], [0.356, 0.644, 0.576], [0.356, 0.644, 0.924], [0.000, 0.000, 0.000], [0.000, 0.000, 0.500], [0.874, 0.126, 0.250], [0.126, 0.874, 0.750]]
}


Record 4
{
  "formula": "TbMgAgSe3",
  "functional": "PBE",
  "state": "optimized geometry",
  "space_group": "Cmcm, No. 63",
  "e_above_lowest_polymorph_mev_per_atom": 28,
  "lattice_angstrom": [[-0.520, 0.027, -3.877], [5.516, -3.069, -2.734], [-5.015, -9.552, 0.605]],
  "species": ["Ag", "Ag", "Mg", "Mg", "Se", "Se", "Se", "Se", "Se", "Se", "Tb", "Tb"],
  "frac_coords": [[0.518, 0.963, 0.250], [0.482, 0.037, 0.750], [0.229, 0.542, 0.250], [0.771, 0.458, 0.750], [0.649, 0.701, 0.071], [0.882, 0.237, 0.250], [0.649, 0.701, 0.429], [0.351, 0.299, 0.571], [0.118, 0.763, 0.750], [0.351, 0.299, 0.929], [0.000, 0.000, 0.000], [0.000, 0.000, 0.500]]
}


Record 5
{
  "formula": "TbMgAgSe3",
  "functional": "PBE",
  "state": "optimized geometry",
  "space_group": "P2_1/m, No. 11",
  "e_above_lowest_polymorph_mev_per_atom": 0,
  "lattice_angstrom": [[7.732, 0.000, 0.000], [0.000, 3.958, 0.000], [-1.931, 0.000, 9.223]],
  "species": ["Ag", "Ag", "Mg", "Mg", "Se", "Se", "Se", "Se", "Se", "Se", "Tb", "Tb"],
  "frac_coords": [[0.606, 0.250, 0.078], [0.394, 0.750, 0.922], [0.277, 0.750, 0.217], [0.723, 0.250, 0.783], [0.802, 0.750, 0.009], [0.552, 0.250, 0.343], [0.094, 0.250, 0.353], [0.906, 0.750, 0.647], [0.448, 0.750, 0.657], [0.198, 0.250, 0.991], [0.817, 0.750, 0.328], [0.183, 0.250, 0.672]]
}


Record 6
{
  "formula": "TbMgAgTeSe2",
  "functional": "PBE",
  "state": "optimized geometry",
  "space_group": "Cmcm, No. 63",
  "e_tot_ev_per_atom": -4.180,
  "lattice_angstrom": [[0.743, 7.060, 0.685], [-2.542, -5.446, -3.841], [-9.548, 0.453, 5.676]],
  "species": ["Ag", "Ag", "Mg", "Mg", "Se", "Se", "Se", "Se", "Tb", "Tb", "Te", "Te"],
  "frac_coords": [[0.016, 0.984, 0.250], [0.984, 0.016, 0.750], [0.703, 0.297, 0.250], [0.297, 0.703, 0.750], [0.142, 0.858, 0.072], [0.142, 0.858, 0.428], [0.858, 0.142, 0.572], [0.858, 0.142, 0.928], [0.500, 0.500, 0.000], [0.500, 0.500, 0.500], [0.373, 0.627, 0.250], [0.627, 0.373, 0.750]]
}